A plane-wave DFT calculation with PBE was carried out for MgSiSeN2 after structural relaxation.

Structure (POSCAR):
```
MgSiSeN2
1.0
3.531 0.000 0.000
0.000 3.531 0.000
0.000 0.000 5.917
Mg Si Se N
1 1 1 2
direct
0.000 0.000 0.000
0.500 0.500 0.500
0.500 0.500 0.000
0.000 0.500 0.500
0.500 0.000 0.500
```

Results
* uncorrected energy: -5.334 eV per atom
* density of states at the Fermi level: 2.3 states/eV/cell
* formation energy without anion corrections: 97 meV per atom
* density: 3.59 g/cm3
* spin magnetization: 0.00 μB per cell